Entry 1:
# LiFe2Pt3 PBE optimized geometry
# - Calculated total energy: -6.3407 eV per atom
# - Energy of formation: -0.18 eV/atom
# - Total moment: 12.633 μB/cell
data_LiFe2Pt3
_cell_length_a 3.8780
_cell_length_b 11.6142
_cell_length_c 7.2448
_cell_angle_alpha 90.00
_cell_angle_beta 90.00
_cell_angle_gamma 90.00
_symmetry_space_group_name_H-M 'C m m m'
_symmetry_Int_Tables_number 65
_symmetry_space_group_name_Hall '-C 2 2'
loop_
_atom_site_label
_atom_site_type_symbol
_atom_site_fract_x
_atom_site_fract_y
_atom_site_fract_z
Li1 Li 0.0000 0.1668 0.0000
Fe1 Fe 0.0000 0.1620 0.5000
Fe2 Fe 0.0000 0.5000 0.0000
Fe3 Fe 0.0000 0.5000 0.5000
Pt1 Pt 0.0000 0.0000 0.2439
Pt2 Pt 0.0000 0.3352 0.2533

Entry 2:
# Li3FePt PBE optimized geometry
# - Calculated total energy: -3.5599 eV per atom
# - Energy of formation: 0.49 eV/atom
# - Total moment: 3.154 μB/cell
# - Relative energy among the computed polymorphs: 0.0 meV per atom
data_Li3FePt
_cell_length_a 4.6130
_cell_length_b 4.6130
_cell_length_c 4.6130
_cell_angle_alpha 90.00
_cell_angle_beta 90.00
_cell_angle_gamma 90.00
_symmetry_space_group_name_H-M 'P m -3 m'
_symmetry_Int_Tables_number 221
_symmetry_space_group_name_Hall '-P 4 2 3'
loop_
_atom_site_label
_atom_site_type_symbol
_atom_site_fract_x
_atom_site_fract_y
_atom_site_fract_z
Li1 Li 0.0000 0.0000 0.5000
Fe1 Fe 0.5000 0.5000 0.5000
Pt1 Pt 0.0000 0.0000 0.0000

Q: Which of these has the highest total moment?
A: LiFe2Pt3